No. 1
A plane-wave DFT calculation with PBEsol was carried out for Li3AlB2O6 after structural relaxation.

Lattice parameters (Å, degrees): 4.921 6.731 8.278 68.43 88.07 85.71
Atoms (fractional coordinates):
Li 0.037 0.174 0.270
Li 0.112 0.255 0.881
Li 0.328 0.889 0.205
Li 0.672 0.111 0.795
Li 0.888 0.745 0.119
Li 0.963 0.826 0.730
Al 0.447 0.478 0.276
Al 0.553 0.522 0.724
B 0.192 0.256 0.589
B 0.421 0.726 0.936
B 0.579 0.274 0.064
B 0.808 0.744 0.411
O 0.016 0.122 0.694
O 0.206 0.315 0.411
O 0.270 0.673 0.092
O 0.314 0.668 0.807
O 0.338 0.183 0.083
O 0.382 0.339 0.668
O 0.618 0.661 0.332
O 0.662 0.817 0.917
O 0.686 0.332 0.193
O 0.730 0.327 0.908
O 0.794 0.685 0.589
O 0.984 0.878 0.306

- Energy relative to the elements, uncorrected: -2.446 eV per atom


No. 2
A plane-wave DFT calculation with PBEsol was carried out for LiAlB2O5 after structural relaxation.

Lattice parameters (Å, degrees): 7.069 7.069 9.328 110.59 110.59 90.32
Atoms (fractional coordinates):
Li 0.117 0.883 0.750
Li 0.337 0.663 0.250
Li 0.663 0.337 0.750
Li 0.883 0.117 0.250
Al 0.147 0.458 0.848
Al 0.458 0.147 0.348
Al 0.542 0.853 0.652
Al 0.853 0.542 0.152
B 0.103 0.768 0.473
B 0.232 0.897 0.027
B 0.259 0.276 0.095
B 0.276 0.259 0.595
B 0.724 0.741 0.405
B 0.741 0.724 0.905
B 0.768 0.103 0.973
B 0.897 0.232 0.527
O 0.071 0.207 0.483
O 0.088 0.677 0.314
O 0.158 0.721 0.890
O 0.202 0.425 0.035
O 0.207 0.071 0.983
O 0.279 0.842 0.610
O 0.323 0.912 0.186
O 0.326 0.361 0.759
O 0.361 0.326 0.259
O 0.425 0.202 0.535
O 0.575 0.798 0.465
O 0.639 0.674 0.741
O 0.674 0.639 0.241
O 0.677 0.088 0.814
O 0.721 0.158 0.390
O 0.793 0.929 0.017
O 0.798 0.575 0.965
O 0.842 0.279 0.110
O 0.912 0.323 0.686
O 0.929 0.793 0.517

- Energy relative to the elements, uncorrected: -2.592 eV per atom


| no. | magnetization (μB/f.u.) |
| --- | --- |
| 1 | 0.001 |
| 2 | 0.000 |